[1]
Computed, not measured: TbHo4Tm3 after structural relaxation at the PBE-GGA level of DFT.

abc: 11.1011 7.1842 6.2095
angles: 90.00 90.00 90.00
Space group Pmn2_1 (No. 31)
Unique sites:
Tb (0.0000, 0.1246, 0.0000) (multiplicity 2)
Ho (0.0000, 0.3744, 0.5004) (multiplicity 2)
Ho (0.0000, 0.6255, 0.9987) (multiplicity 2)
Ho (0.2490, 0.6255, 0.3332) (multiplicity 4)
Tm (0.0000, 0.8757, 0.4998) (multiplicity 2)
Tm (0.2500, 0.1246, 0.3330) (multiplicity 4)

Properties
Uncorrected energy   -4.54 eV/atom
Energy of formation   0.0 eV/f.u.
Density of states at the Fermi level   25.50 states/eV/cell
Relative energy among the computed polymorphs   0.000 eV/atom
Density   8.89 Mg/m³


[2]
Computed, not measured: Tb3HoTm8 after structural relaxation at the PBE-GGA level of DFT.

abc: 7.5890 7.5890 15.2002
angles: 90.00 90.00 90.00
Space group I4/mmm (No. 139)
Unique sites:
Tb (0.0000, 0.0000, 0.0000) (multiplicity 2)
Tb (0.0000, 0.5000, 0.2500) (multiplicity 4)
Ho (0.0000, 0.0000, 0.5000) (multiplicity 2)
Tm (0.2504, 0.2504, 0.1248) (multiplicity 16)

Properties
Uncorrected energy   -3.78 eV/atom
Energy of formation   8.9 eV/f.u.
Density of states at the Fermi level   25.01 states/eV/cell
Density   7.56 Mg/m³


[3]
Computed, not measured: TbHoTm3 after structural relaxation at the PBE-GGA level of DFT.

abc: 6.1940 6.6120 9.0678
angles: 72.37 89.98 62.10
Space group P-1 (No. 2)
Unique sites:
Tb (0.0324, 0.1009, 0.1503) (multiplicity 2)
Ho (0.3665, 0.1003, 0.6497) (multiplicity 2)
Tm (0.1668, 0.4992, 0.2504) (multiplicity 2)
Tm (0.2339, 0.6999, 0.5492) (multiplicity 2)
Tm (0.4343, 0.3000, 0.9494) (multiplicity 2)

Properties
Uncorrected energy   -4.52 eV/atom
Energy of formation   0.0 eV/f.u.
Density of states at the Fermi level   17.40 states/eV/cell
Relative energy among the computed polymorphs   0.000 eV/atom
Density   8.95 Mg/m³


[4]
Computed, not measured: Tb8Ho4Tm after structural relaxation at the PBE-GGA level of DFT.

abc: 7.2078 7.2078 27.6351
angles: 90.00 90.00 120.00
Space group R-3m (No. 166, hexagonal axes)
Unique sites:
Tb (0.0000, 0.0000, 0.2141) (multiplicity 6)
Tb (0.0325, 0.5163, 0.7657) (multiplicity 18)
Ho (0.0000, 0.0000, 0.0000) (multiplicity 3)
Ho (0.0000, 0.5000, 0.0000) (multiplicity 9)
Tm (0.0000, 0.0000, 0.5000) (multiplicity 3)

Properties
Uncorrected energy   -4.39 eV/atom
Energy of formation   2.8 eV/f.u.
Density of states at the Fermi level   41.97 states/eV/cell
Density   8.41 Mg/m³


- uncorrected energy of number 2 (Tb3HoTm8)?
  -3.78 eV/atom